Below is a relaxed structure of Na2DyPWO8, with properties calculated at the PBEsol level.

Cell: 6.874 11.369 11.369 Å, 64.04 72.40 72.40°
Fractional positions:
O (0.309, 0.440, 0.423)
O (0.419, 0.859, 0.155)
O (0.672, 0.060, 0.077)
O (0.081, 0.845, 0.141)
O (0.433, 0.345, 0.641)
O (0.193, 0.897, 0.640)
O (0.167, 0.348, 0.893)
O (0.828, 0.923, 0.940)
O (0.191, 0.577, 0.560)
O (0.807, 0.103, 0.360)
O (0.933, 0.641, 0.345)
O (0.691, 0.560, 0.577)
O (0.091, 0.848, 0.393)
O (0.067, 0.359, 0.655)
O (0.328, 0.940, 0.923)
O (0.172, 0.077, 0.060)
O (0.409, 0.607, 0.152)
O (0.307, 0.360, 0.103)
O (0.730, 0.860, 0.603)
O (0.333, 0.107, 0.652)
O (0.581, 0.141, 0.845)
O (0.770, 0.397, 0.140)
O (0.833, 0.652, 0.107)
O (0.919, 0.155, 0.859)
O (0.693, 0.640, 0.897)
O (0.667, 0.893, 0.348)
O (0.230, 0.603, 0.860)
O (0.809, 0.423, 0.440)
O (0.591, 0.393, 0.848)
O (0.270, 0.140, 0.397)
O (0.567, 0.655, 0.359)
O (0.909, 0.152, 0.607)
Na (0.161, 0.793, 0.897)
Na (0.852, 0.603, 0.707)
Na (0.648, 0.293, 0.397)
Na (0.839, 0.207, 0.103)
Na (0.339, 0.103, 0.207)
Na (0.352, 0.707, 0.603)
Na (0.148, 0.397, 0.293)
Na (0.661, 0.897, 0.793)
P (0.250, 0.432, 0.568)
P (0.750, 0.068, 0.932)
P (0.250, 0.932, 0.068)
P (0.750, 0.568, 0.432)
W (0.678, 0.572, 0.072)
W (0.322, 0.428, 0.928)
W (0.822, 0.928, 0.428)
W (0.178, 0.072, 0.572)
Dy (0.250, 0.179, 0.821)
Dy (0.750, 0.821, 0.179)
Dy (0.250, 0.679, 0.321)
Dy (0.750, 0.321, 0.679)

Output
- spin magnetization (μB per formula unit) = 0.00
- E (eV per cell) = -409.91
- symmetry = Ibca (73)